# Hg3TeH4 PBE-GGA relaxed
data_Hg3TeH4
_cell_length_a 7.9782
_cell_length_b 8.5053
_cell_length_c 5.3701
_cell_angle_alpha 90.00
_cell_angle_beta 121.63
_cell_angle_gamma 90.00
_space_group_name_H-M_alt 'C 1 2/m 1'
_space_group_IT_number 12
loop_
_space_group_symop_operation_xyz
'x,y,z'
'-x,-y,-z'
'-x,y,-z'
'x,-y,z'
'x+1/2,y+1/2,z'
'-x+1/2,-y+1/2,-z'
'-x+1/2,y+1/2,-z'
'x+1/2,-y+1/2,z'
loop_
_atom_site_label
_atom_site_type_symbol
_atom_site_fract_x
_atom_site_fract_y
_atom_site_fract_z
_atom_site_occupancy
Hg1 Hg 0.0000 0.0000 0.0000 1
Hg2 Hg 0.0000 0.1725 0.5000 1
Te1 Te 0.0000 0.5000 0.0000 1
H1 H 0.0015 0.3341 0.2516 1
# * total magnetization: 0.00 μB/f.u.
# * energy: -1.824 eV per atom